Model one:
VASP calculation (PBE) on crystalline PmBiSb2 at its relaxed geometry.

a b c (Å): 4.203 4.203 6.601
angles (deg): 90.00 90.00 90.00
Element x y z (fractional)
Bi  0.500  0.500  0.500
Sb  0.000  0.000  0.765
Sb  0.000  0.000  0.235
Pm  0.500  0.500  0.000

Properties
V in Å³/atom: 29.2

=====

Model two:
VASP calculation (PBE) on crystalline PmBiSb2 at its relaxed geometry.

a b c (Å): 4.504 4.504 7.894
angles (deg): 73.42 73.42 60.00
Element x y z (fractional)
Pm  0.000  0.000  0.000
Sb  0.250  0.250  0.250
Sb  0.750  0.750  0.750
Bi  0.500  0.500  0.500

Properties
V in Å³/atom: 32.7

=====

Model three:
VASP calculation (PBE) on crystalline PmBiSb2 at its relaxed geometry.

a b c (Å): 4.214 5.251 5.251
angles (deg): 90.00 90.00 90.00
Element x y z (fractional)
Bi  0.500  0.000  0.000
Sb  0.000  0.500  0.000
Sb  0.000  0.000  0.500
Pm  0.500  0.500  0.500

Properties
V in Å³/atom: 29.1

=====

Most stable to least stable, the ends of the list are model three and model one.

=====

Model one:
VASP calculation (PBE) on crystalline Pm2BiSb at its relaxed geometry.

a b c (Å): 3.844 3.844 8.148
angles (deg): 90.00 90.00 90.00
Element x y z (fractional)
Pm  0.000  0.000  0.769
Sb  0.500  0.500  0.000
Bi  0.500  0.500  0.500
Pm  0.000  0.000  0.231

Properties
V in Å³/atom: 30.1

=====

Model two:
VASP calculation (PBE) on crystalline Pm2BiSb at its relaxed geometry.

a b c (Å): 3.420 5.886 5.886
angles (deg): 90.00 90.00 90.00
Element x y z (fractional)
Sb  0.500  0.500  0.500
Pm  0.000  0.500  0.000
Bi  0.500  0.000  0.000
Pm  0.000  0.000  0.500

Properties
V in Å³/atom: 29.6

=====

Model three:
VASP calculation (PBE) on crystalline Pm2BiSb at its relaxed geometry.

a b c (Å): 4.537 4.533 7.857
angles (deg): 106.82 90.00 120.03
Element x y z (fractional)
Bi  0.000  0.000  0.500
Pm  0.248  0.496  0.244
Pm  0.752  0.504  0.756
Sb  0.500  0.000  0.000

Properties
V in Å³/atom: 33.0

=====

Model four:
VASP calculation (PBE) on crystalline Pm2BiSb at its relaxed geometry.

a b c (Å): 4.737 4.737 8.045
angles (deg): 90.00 90.00 120.00
Element x y z (fractional)
Pm  0.667  0.333  0.205
Pm  0.333  0.667  0.755
Bi  0.000  0.000  0.009
Sb  0.667  0.333  0.576

Properties
V in Å³/atom: 39.1

=====

Most stable to least stable, the ends of the list are model three and model four.

=====

Model one:
VASP calculation (PBE) on crystalline PmThBiSb at its relaxed geometry.

a b c (Å): 4.543 4.543 7.869
angles (deg): 73.22 73.22 60.00
Element x y z (fractional)
Th  0.447  0.447  0.660
Pm  0.941  0.941  0.176
Sb  0.195  0.195  0.416
Bi  0.694  0.694  0.919

Properties
V in Å³/atom: 33.1

=====

Model two:
VASP calculation (PBE) on crystalline PmThBiSb at its relaxed geometry.

a b c (Å): 5.525 5.525 5.525
angles (deg): 60.00 60.00 60.00
Element x y z (fractional)
Th  0.750  0.750  0.750
Sb  0.000  0.000  0.000
Bi  0.500  0.500  0.500
Pm  0.250  0.250  0.250

Properties
V in Å³/atom: 29.8

=====

Most stable to least stable, the ends of the list are model one and model two.